Record 1
Compound: YHoAl3
Source: the Alexandria database
Functional: PBE
Structure: relaxed

Structure (extended XYZ):
```
10
Lattice="4.529 0.000 0.000 0.000 3.554 0.000 0.000 -1.777 13.775" Properties=species:S:1:pos:R:3 pbc="T T T"
Al 1.132 0.000 13.114
Al 3.396 0.000 9.056
Al 1.132 1.777 4.719
Al 3.396 1.777 3.286
Al 1.132 0.000 10.488
Al 3.396 1.777 0.661
Ho 3.396 0.000 5.833
Ho 1.132 1.777 7.942
Y 1.132 0.000 1.979
Y 3.396 1.777 11.796
```

Output
Crystal system ... orthorhombic
ΔE_f ... -0.4597 eV per atom
SG ... Cmcm

=====

Record 2
Compound: Y2HoAl
Source: the Alexandria database
Functional: PBE
Structure: relaxed

Structure (extended XYZ):
```
4
Lattice="-0.192 -4.171 2.266 0.110 -2.283 -4.193 4.771 -0.117 0.189" Properties=species:S:1:pos:R:3 pbc="T T T"
Ho 2.345 -3.285 -0.870
Y 2.385 -0.058 0.094
Y 0.055 -1.141 -2.097
Al -0.096 -2.086 1.133
```

Output
Crystal system ... tetragonal
ΔE_f ... -0.1880 eV per atom
Energy above the lowest structure with this stoichiometry ... 16 meV per atom
SG ... P4/mmm

=====

Record 3
Compound: Y4Ho3Al4
Source: the Alexandria database
Functional: PBE
Structure: relaxed

Structure (extended XYZ):
```
11
Lattice="-2.438 4.282 -1.423 -5.818 -3.361 -0.146 2.791 1.498 8.966" Properties=species:S:1:pos:R:3 pbc="T T T"
Al -2.405 1.456 -0.742
Al -3.369 -1.007 2.742
Al -5.851 -0.535 -0.828
Al -2.096 3.425 4.654
Ho -0.262 0.384 1.603
Ho -2.909 -1.681 -0.073
Ho -5.203 2.035 5.793
Y 0.522 2.051 5.276
Y -2.235 0.458 5.206
Y -5.987 0.368 2.120
Y -3.230 1.960 2.190
```

Output
Crystal system ... orthorhombic
ΔE_f ... -0.1857 eV per atom
SG ... Immm

=====

Record 4
Compound: YHo5Al
Source: the Alexandria database
Functional: PBE
Structure: relaxed

Structure (extended XYZ):
```
14
Lattice="6.435 -0.993 0.706 1.100 6.418 0.706 3.037 2.187 11.317" Properties=species:S:1:pos:R:3 pbc="T T T"
Ho 8.091 1.510 9.193
Ho 5.545 4.689 3.464
Ho 6.688 6.625 11.985
Ho 7.724 4.864 9.123
Ho 6.886 3.147 6.327
Ho 3.884 0.986 0.743
Ho 2.481 6.101 3.535
Ho 5.027 2.923 9.264
Ho 3.686 4.464 6.402
Ho 2.848 2.747 3.606
Y 4.613 6.342 9.193
Y 5.959 1.269 3.535
Al 0.000 0.000 0.000
Al 1.519 1.093 5.658
```

Output
Crystal system ... monoclinic
ΔE_f ... 0.2105 eV per atom
SG ... C2/c

=====

Record 5
Compound: YHoAl6
Source: the Alexandria database
Functional: PBE
Structure: relaxed

Structure (extended XYZ):
```
8
Lattice="-3.693 1.955 2.075 -3.450 -1.157 -5.051 0.332 -4.219 4.565" Properties=species:S:1:pos:R:3 pbc="T T T"
Al -1.947 -2.373 -1.230
Al -4.761 -2.360 -1.005
Al -1.764 -4.732 1.318
Al -3.382 0.017 -0.791
Al -4.910 -0.492 -3.031
Al -0.019 -1.724 1.590
Y -3.089 -1.967 1.600
Ho 0.016 -3.963 3.761
```

Output
Crystal system ... orthorhombic
ΔE_f ... -0.4317 eV per atom
Energy above the lowest structure with this stoichiometry ... 0 meV per atom
SG ... Amm2

=====

Record 6
Compound: Y8HoAl2
Source: the Alexandria database
Functional: PBE
Structure: relaxed

Structure (extended XYZ):
```
11
Lattice="-2.493 -0.919 4.946 -5.682 -3.357 -5.377 7.344 -4.177 1.037" Properties=species:S:1:pos:R:3 pbc="T T T"
Y -1.479 -1.547 -1.131
Y -3.981 -4.002 -1.453
Y 0.254 -4.776 -1.127
Y 0.649 -6.906 1.736
Y 1.632 -1.743 0.401
Y -2.462 -6.710 0.204
Y 3.150 -4.451 2.058
Y -1.085 -3.676 1.732
Al -1.672 -3.609 -3.403
Al 3.334 -3.925 -0.938
Ho -1.246 -0.459 2.473
```

Output
Crystal system ... monoclinic
ΔE_f ... -0.0079 eV per atom
Energy above the lowest structure with this stoichiometry ... 111 meV per atom
SG ... C2/m

=====

Record 7
Compound: Y3Ho2Al3
Source: the Alexandria database
Functional: PBE
Structure: relaxed

Structure (extended XYZ):
```
8
Lattice="-0.374 0.715 -3.573 1.869 -4.668 -1.130 -10.743 -2.083 2.584" Properties=species:S:1:pos:R:3 pbc="T T T"
Y -0.187 0.358 -1.786
Y -1.660 -2.954 -2.296
Y -7.587 -3.081 0.177
Al -2.336 -0.949 0.054
Al -6.911 -5.087 -2.173
Al 0.935 -2.334 -0.565
Ho -4.797 -1.515 -1.679
Ho -4.450 -4.521 -0.440
```

Output
Crystal system ... orthorhombic
ΔE_f ... -0.3168 eV per atom
SG ... Immm

=====

Record 8
Compound: YHo3Al2
Source: the Alexandria database
Functional: PBE
Structure: relaxed

Structure (extended XYZ):
```
12
Lattice="-0.432 -1.756 -4.750 -5.353 -3.361 1.730 -5.379 7.410 -2.251" Properties=species:S:1:pos:R:3 pbc="T T T"
Al -8.597 3.067 -3.072
Al -5.037 3.809 -0.951
Al -2.116 -0.492 -2.345
Al -6.140 -0.039 0.573
Ho -3.415 1.319 -0.177
Ho -5.429 -2.957 1.587
Ho -7.681 5.513 -1.340
Ho -5.637 4.600 -3.908
Ho -8.016 2.291 -0.118
Ho -4.835 -1.873 -1.587
Y -2.832 2.425 -3.358
Y -5.956 1.360 -2.681
```

Output
Crystal system ... orthorhombic
ΔE_f ... -0.2990 eV per atom
Energy above the lowest structure with this stoichiometry ... 0 meV per atom
SG ... Pmc2_1